Sr2MnNbSb | PBE | optimized geometry

Structure (POSCAR):
```
Sr2MnNbSb
1.0
5.987 0.000 0.000
0.000 5.987 0.000
0.000 0.000 5.304
Sr Mn Nb Sb
2 1 1 1
Direct
0.000 0.500 0.000
0.500 0.000 0.000
0.000 0.000 0.500
0.500 0.500 0.000
0.500 0.500 0.500
```

Output
The space group is P4/mmm (123). Its formation energy without anion corrections is 824 meV per atom. For the final energy, the calculation gives -4.521 eV per atom. As for the density of states at the Fermi level: 4.39 states/eV/cell.